1.
Here is a geometry-optimized RhC3 structure from the Alexandria database. Energies are from PBE.

Properties
* density of states at the Fermi level: 1.7 states/eV/cell
* formation energy: 16.9 kcal/mol of atoms
* distance to the lowest polymorph of the same formula: 167 meV/atom

Cell lengths 2.840, 4.281, 4.281 Å; angles 52.47, 90.00, 90.00 degrees
Element x y z (fractional)
Rh 0.000 0.000 0.000
C 0.500 0.214 0.214
C 0.500 0.629 0.983
C 0.500 0.983 0.629

2.
Here is a geometry-optimized U2TeS structure from the Alexandria database. Energies are from PBE.

Properties
* density of states at the Fermi level: 11.7 states/eV/cell
* distance to the lowest polymorph of the same formula: 0 meV/atom

Cell lengths 7.154, 7.154, 7.154 Å; angles 33.39, 33.39, 33.39 degrees
Element x y z (fractional)
U 0.234 0.234 0.234
U 0.766 0.766 0.766
Te 0.000 0.000 0.000
S 0.500 0.500 0.500

3.
Here is a geometry-optimized NaHf2AsSe structure from the Alexandria database. Energies are from PBE.

Properties
* total DFT energy (no corrections): -4.673 eV/atom
* density of states at the Fermi level: 2.5 states/eV/cell

Cell lengths 5.142, 5.142, 4.448 Å; angles 90.00, 90.00, 90.00 degrees
Element x y z (fractional)
Na 0.000 0.000 0.000
Hf 0.000 0.500 0.000
Hf 0.500 0.000 0.000
As 0.000 0.000 0.500
Se 0.500 0.500 0.500

4.
Here is a geometry-optimized Pa5C4N structure from the Alexandria database. Energies are from PBE.

Properties
* density of states at the Fermi level: 8.3 states/eV/cell
* distance to the lowest polymorph of the same formula: 0 meV/atom

Cell lengths 14.692, 14.692, 14.692 Å; angles 14.01, 14.01, 14.01 degrees
Element x y z (fractional)
Pa 0.000 0.000 0.000
Pa 0.199 0.199 0.199
Pa 0.401 0.401 0.401
Pa 0.599 0.599 0.599
Pa 0.801 0.801 0.801
C 0.102 0.102 0.102
C 0.300 0.300 0.300
C 0.700 0.700 0.700
C 0.898 0.898 0.898
N 0.500 0.500 0.500

5.
Here is a geometry-optimized CsLa2Ce2O7 structure from the Alexandria database. Energies are from PBE.

Properties
* total DFT energy (no corrections): -7.777 eV/atom
* density of states at the Fermi level: 5.7 states/eV/cell

Cell lengths 10.517, 10.517, 10.517 Å; angles 154.08, 38.33, 152.25 degrees
Element x y z (fractional)
Cs 0.000 0.000 0.000
La 0.259 0.515 0.745
La 0.770 0.515 0.255
Ce 0.389 0.998 0.391
Ce 0.607 0.998 0.609
O 0.197 0.569 0.628
O 0.288 0.018 0.270
O 0.399 0.533 0.866
O 0.523 0.023 0.500
O 0.667 0.533 0.134
O 0.748 0.018 0.730
O 0.941 0.569 0.372

6.
Here is a geometry-optimized K2ThSnSe4 structure from the Alexandria database. Energies are from PBE.

Properties
* total DFT energy (no corrections): -4.755 eV/atom

Cell lengths 7.651, 4.384, 7.993 Å; angles 90.00, 107.89, 90.00 degrees
Element x y z (fractional)
K 0.000 0.000 0.000
K 0.500 0.500 0.000
Th 0.000 0.500 0.500
Sn 0.500 0.000 0.500
Se 0.226 0.000 0.708
Se 0.248 0.500 0.291
Se 0.752 0.500 0.709
Se 0.774 0.000 0.292

7.
Here is a geometry-optimized CaGe8Os2 structure from the Alexandria database. Energies are from PBE.

Properties
* density of states at the Fermi level: 5.2 states/eV/cell
* formation energy: 4.0 kcal/mol of atoms

Cell lengths 6.267, 6.267, 5.489 Å; angles 90.00, 90.00, 90.00 degrees
Element x y z (fractional)
Ca 0.000 0.000 0.000
Ge 0.287 0.287 0.246
Ge 0.287 0.287 0.754
Ge 0.287 0.713 0.246
Ge 0.287 0.713 0.754
Ge 0.713 0.287 0.246
Ge 0.713 0.287 0.754
Ge 0.713 0.713 0.246
Ge 0.713 0.713 0.754
Os 0.000 0.500 0.500
Os 0.500 0.000 0.500

8.
Here is a geometry-optimized Ba4PPb structure from the Alexandria database. Energies are from PBE.

Properties
* density of states at the Fermi level: 6.1 states/eV/cell
* formation energy: 7.4 kcal/mol of atoms

Cell lengths 7.019, 7.019, 7.019 Å; angles 60.00, 60.00, 60.00 degrees
Element x y z (fractional)
Ba 0.124 0.124 0.124
Ba 0.124 0.124 0.628
Ba 0.124 0.628 0.124
Ba 0.628 0.124 0.124
P 0.750 0.750 0.750
Pb 0.500 0.500 0.500

9.
Here is a geometry-optimized ZrOs2Pt structure from the Alexandria database. Energies are from PBE.

Properties
* density of states at the Fermi level: 2.4 states/eV/cell
* formation energy: -6.6 kcal/mol of atoms

Cell lengths 2.856, 3.918, 5.840 Å; angles 90.00, 90.00, 90.00 degrees
Element x y z (fractional)
Zr 0.000 0.000 0.000
Os 0.000 0.000 0.471
Os 0.500 0.500 0.285
Pt 0.500 0.500 0.744

10.
Here is a geometry-optimized CsBr2Cl structure from the Alexandria database. Energies are from PBE.

Properties
* total DFT energy (no corrections): -2.507 eV/atom
* density of states at the Fermi level: 0.0 states/eV/cell

Cell lengths 4.922, 4.922, 8.188 Å; angles 90.00, 90.00, 90.00 degrees
Element x y z (fractional)
Cs 0.000 0.000 0.000
Br 0.500 0.500 0.353
Br 0.500 0.500 0.647
Cl 0.500 0.500 0.000

11.
Here is a geometry-optimized Dy5ErTm12 structure from the Alexandria database. Energies are from PBE.

Properties
* density of states at the Fermi level: 23.4 states/eV/cell
* formation energy: 0.3 kcal/mol of atoms

Cell lengths 6.076, 6.076, 17.119 Å; angles 93.41, 93.41, 119.96 degrees
Element x y z (fractional)
Dy 0.000 0.000 0.000
Dy 0.167 0.833 0.500
Dy 0.333 0.667 0.000
Dy 0.667 0.333 0.000
Dy 0.833 0.167 0.500
Er 0.500 0.500 0.500
Tm 0.057 0.390 0.167
Tm 0.111 0.111 0.332
Tm 0.222 0.555 0.668
Tm 0.276 0.276 0.833
Tm 0.390 0.057 0.167
Tm 0.445 0.778 0.332
Tm 0.555 0.222 0.668
Tm 0.610 0.943 0.833
Tm 0.724 0.724 0.167
Tm 0.778 0.445 0.332
Tm 0.889 0.889 0.668
Tm 0.943 0.610 0.833

12.
Here is a geometry-optimized RbLiFe3 structure from the Alexandria database. Energies are from PBE.

Properties
* density of states at the Fermi level: 4.2 states/eV/cell
* formation energy: 33.8 kcal/mol of atoms
* distance to the lowest polymorph of the same formula: 0 meV/atom

Cell lengths 4.661, 4.661, 4.661 Å; angles 90.00, 90.00, 90.00 degrees
Element x y z (fractional)
Rb 0.000 0.000 0.000
Li 0.500 0.500 0.500
Fe 0.000 0.500 0.500
Fe 0.500 0.000 0.500
Fe 0.500 0.500 0.000